[1]
{
  "formula": "LiSmAu2",
  "functional": "GGA-PBEsol",
  "state": "optimized geometry",
  "lattice_angstrom": [[-2.328, 4.224, 0.530], [-4.839, 0.161, -0.326], [-2.673, 0.816, 3.967]],
  "species": ["Li", "Au", "Au", "Sm"],
  "fractional_positions": [[0.500, 0.500, 0.500], [0.750, 0.750, 0.750], [0.250, 0.250, 0.250], [0.000, 0.000, 0.000]],
  "ef_mev_per_atom": -647,
  "crystal_system": "cubic"
}

[2]
{
  "formula": "As2BrCl",
  "functional": "GGA-PBEsol",
  "state": "optimized geometry",
  "lattice_angstrom": [[-0.590, 2.159, -2.314], [-2.575, 1.921, 0.209], [3.798, 7.390, 3.688]],
  "species": ["As", "As", "Br", "Cl"],
  "fractional_positions": [[0.749, 0.749, 0.754], [0.251, 0.251, 0.246], [0.500, 0.500, 0.500], [0.000, 0.000, 0.000]],
  "raw_formation_energy_kj_per_mol_atoms": 35.7,
  "crystal_system": "trigonal"
}

[3]
{
  "formula": "LiNbCoO4",
  "functional": "GGA-PBEsol",
  "state": "optimized geometry",
  "lattice_angstrom": [[6.045, 0.000, 0.000], [0.000, 6.045, 0.000], [0.000, 0.000, 8.327]],
  "species": ["O", "O", "O", "O", "O", "O", "O", "O", "O", "O", "O", "O", "O", "O", "O", "O", "Nb", "Nb", "Nb", "Nb", "Co", "Co", "Co", "Co", "Li", "Li", "Li", "Li"],
  "fractional_positions": [[0.990, 0.260, 0.748], [0.010, 0.740, 0.248], [0.260, 0.010, 0.998], [0.517, 0.265, 0.762], [0.740, 0.010, 0.002], [0.735, 0.517, 0.512], [0.990, 0.740, 0.752], [0.740, 0.990, 0.498], [0.735, 0.483, 0.988], [0.260, 0.990, 0.502], [0.483, 0.735, 0.262], [0.010, 0.260, 0.252], [0.265, 0.517, 0.488], [0.265, 0.483, 0.012], [0.483, 0.265, 0.238], [0.517, 0.735, 0.738], [0.213, 0.500, 0.250], [0.500, 0.787, 0.500], [0.500, 0.213, 0.000], [0.787, 0.500, 0.750], [0.742, 0.742, 0.125], [0.742, 0.258, 0.375], [0.258, 0.258, 0.625], [0.258, 0.742, 0.875], [0.000, 0.215, 0.000], [0.000, 0.785, 0.500], [0.785, 0.000, 0.750], [0.215, 0.000, 0.250]],
  "raw_formation_energy_kj_per_mol_atoms": -183.8,
  "crystal_system": "tetragonal"
}

It is found that the ρ values, taken in the order of the records, are 11.330; 5.514; 4.863 g cm⁻³.